[1]
Density functional theory data (PBE) for a relaxed Pm2Nd5Tm2 crystal.

For the formation energy, the calculation gives 185 kJ/mol of formula units. As for the energy above the most stable polymorph in this dataset: 196 meV per atom.

abc: 10.184 10.184 10.184
angles: 85.10 108.26 140.54
Fractional coordinates of all 18 atoms:
Pm 0.004 0.126 0.130
Pm 0.004 0.374 0.377
Pm 0.996 0.626 0.623
Pm 0.996 0.874 0.870
Nd 0.090 0.397 0.798
Nd 0.090 0.792 0.193
Nd 0.391 0.896 0.995
Nd 0.444 0.321 0.409
Nd 0.444 0.535 0.623
Nd 0.598 0.292 0.202
Nd 0.598 0.897 0.807
Nd 0.902 0.396 0.005
Nd 0.912 0.035 0.591
Nd 0.912 0.821 0.377
Tm 0.444 0.203 0.741
Tm 0.462 0.703 0.259
Tm 0.520 0.020 0.500
Tm 0.520 0.520 0.000


[2]
Density functional theory data (PBE) for a relaxed Rb2YAgCl6 crystal.

The calculation puts the formation energy (no corrections) at -1.8243 eV per atom. As for the energy above the most stable polymorph in this dataset: 0 meV per atom.

abc: 7.525 7.707 12.904
angles: 90.00 125.41 90.00
Fractional coordinates of all 20 atoms:
Rb 0.237 0.052 0.250
Rb 0.237 0.448 0.750
Rb 0.763 0.552 0.250
Rb 0.763 0.948 0.750
Y 0.500 0.000 0.000
Y 0.500 0.500 0.500
Ag 0.000 0.000 0.500
Ag 0.000 0.500 0.000
Cl 0.181 0.200 0.963
Cl 0.181 0.300 0.463
Cl 0.266 0.720 0.964
Cl 0.266 0.780 0.464
Cl 0.323 0.013 0.752
Cl 0.323 0.487 0.252
Cl 0.677 0.513 0.748
Cl 0.677 0.987 0.248
Cl 0.734 0.220 0.536
Cl 0.734 0.280 0.036
Cl 0.819 0.700 0.537
Cl 0.819 0.800 0.037


[3]
Density functional theory data (PBE) for a relaxed Sm3S4 crystal.

The calculation puts the formation energy (no corrections) at -2.0153 eV per atom. As for the energy above the most stable polymorph in this dataset: 0 meV per atom.

abc: 5.648 5.648 11.262
angles: 90.00 90.00 90.00
Fractional coordinates of all 14 atoms:
Sm 0.000 0.000 0.000
Sm 0.000 0.500 0.250
Sm 0.000 0.500 0.750
Sm 0.500 0.000 0.250
Sm 0.500 0.000 0.750
Sm 0.500 0.500 0.500
S 0.000 0.000 0.248
S 0.000 0.000 0.752
S 0.000 0.500 0.000
S 0.000 0.500 0.500
S 0.500 0.000 0.000
S 0.500 0.000 0.500
S 0.500 0.500 0.252
S 0.500 0.500 0.748


[4]
Density functional theory data (PBE) for a relaxed GeBRu3 crystal.

For the formation energy, the calculation gives 38 kJ/mol of formula units. As for the energy above the most stable polymorph in this dataset: 0 meV per atom.

abc: 4.076 4.076 4.076
angles: 90.00 90.00 90.00
Fractional coordinates of all 5 atoms:
Ge 0.000 0.000 0.000
B 0.500 0.500 0.500
Ru 0.000 0.500 0.500
Ru 0.500 0.000 0.500
Ru 0.500 0.500 0.000


[5]
Density functional theory data (PBE) for a relaxed Tl2CuW crystal.

For the formation energy, the calculation gives 480 kJ/mol of formula units. As for the energy above the most stable polymorph in this dataset: 601 meV per atom.

abc: 6.933 6.933 6.933
angles: 90.00 90.00 90.00
Fractional coordinates of all 16 atoms:
Tl 0.000 0.000 0.000
Tl 0.000 0.500 0.500
Tl 0.250 0.250 0.250
Tl 0.250 0.750 0.750
Tl 0.500 0.000 0.500
Tl 0.500 0.500 0.000
Tl 0.750 0.250 0.750
Tl 0.750 0.750 0.250
Cu 0.000 0.000 0.500
Cu 0.000 0.500 0.000
Cu 0.500 0.000 0.000
Cu 0.500 0.500 0.500
W 0.250 0.250 0.750
W 0.250 0.750 0.250
W 0.750 0.250 0.250
W 0.750 0.750 0.750


[6]
Density functional theory data (PBE) for a relaxed BaRh2Se crystal.

The calculation puts the formation energy (no corrections) at 0.1378 eV per atom.

abc: 4.520 4.520 8.096
angles: 90.00 90.00 90.00
Fractional coordinates of all 8 atoms:
Ba 0.000 0.000 0.000
Ba 0.500 0.500 0.500
Rh 0.000 0.500 0.250
Rh 0.000 0.500 0.750
Rh 0.500 0.000 0.250
Rh 0.500 0.000 0.750
Se 0.000 0.000 0.500
Se 0.500 0.500 0.000


[7]
Density functional theory data (PBE) for a relaxed NbGeSb3 crystal.

The calculation puts the formation energy (no corrections) at 0.5905 eV per atom. As for the energy above the most stable polymorph in this dataset: 0 meV per atom.

abc: 5.356 5.356 5.356
angles: 90.00 90.00 90.00
Fractional coordinates of all 5 atoms:
Nb 0.000 0.000 0.000
Ge 0.500 0.500 0.500
Sb 0.000 0.000 0.500
Sb 0.000 0.500 0.000
Sb 0.500 0.000 0.000


[8]
Density functional theory data (PBE) for a relaxed SrCaZnF6 crystal.

The calculation puts the formation energy (no corrections) at -3.3640 eV per atom.

abc: 5.687 5.687 10.338
angles: 90.00 90.00 120.00
Fractional coordinates of all 18 atoms:
Sr 0.000 0.000 0.000
Sr 0.000 0.000 0.500
Ca 0.333 0.667 0.250
Ca 0.667 0.333 0.750
Zn 0.333 0.667 0.750
Zn 0.667 0.333 0.250
F 0.026 0.365 0.639
F 0.026 0.661 0.861
F 0.339 0.365 0.861
F 0.339 0.974 0.639
F 0.365 0.026 0.139
F 0.365 0.339 0.361
F 0.635 0.661 0.639
F 0.635 0.974 0.861
F 0.661 0.026 0.361
F 0.661 0.635 0.139
F 0.974 0.339 0.139
F 0.974 0.635 0.361


[9]
Density functional theory data (PBE) for a relaxed K2ZnSbS4 crystal.

The calculation puts the formation energy (no corrections) at -0.7118 eV per atom.

abc: 7.204 7.204 8.965
angles: 90.00 90.00 90.00
Fractional coordinates of all 16 atoms:
K 0.000 0.000 0.000
K 0.000 0.500 0.250
K 0.500 0.000 0.750
K 0.500 0.500 0.500
Zn 0.000 0.500 0.750
Zn 0.500 0.000 0.250
Sb 0.000 0.000 0.500
Sb 0.500 0.500 0.000
S 0.168 0.745 0.638
S 0.245 0.332 0.862
S 0.255 0.168 0.362
S 0.332 0.755 0.138
S 0.668 0.245 0.138
S 0.745 0.832 0.362
S 0.755 0.668 0.862
S 0.832 0.255 0.638


[10]
Density functional theory data (PBE) for a relaxed NaLa2Ta crystal.

For the formation energy, the calculation gives 216 kJ/mol of formula units. As for the energy above the most stable polymorph in this dataset: 0 meV per atom.

abc: 7.654 7.654 7.654
angles: 90.00 90.00 90.00
Fractional coordinates of all 16 atoms:
Na 0.000 0.000 0.000
Na 0.000 0.500 0.500
Na 0.500 0.000 0.500
Na 0.500 0.500 0.000
La 0.250 0.250 0.250
La 0.250 0.250 0.750
La 0.250 0.750 0.250
La 0.250 0.750 0.750
La 0.750 0.250 0.250
La 0.750 0.250 0.750
La 0.750 0.750 0.250
La 0.750 0.750 0.750
Ta 0.000 0.000 0.500
Ta 0.000 0.500 0.000
Ta 0.500 0.000 0.000
Ta 0.500 0.500 0.500


[11]
Density functional theory data (PBE) for a relaxed Tl2OsPtN crystal.

The calculation puts the formation energy (no corrections) at 1.2768 eV per atom.

abc: 5.699 5.699 3.605
angles: 90.00 90.00 90.00
Fractional coordinates of all 5 atoms:
Tl 0.000 0.500 0.000
Tl 0.500 0.000 0.000
Os 0.000 0.000 0.500
Pt 0.500 0.500 0.000
N 0.500 0.500 0.500


[12]
Density functional theory data (PBE) for a relaxed PmPrDyTm crystal.

For the formation energy, the calculation gives 41 kJ/mol of formula units.

abc: 8.103 8.103 8.103
angles: 90.00 90.00 90.00
Fractional coordinates of all 16 atoms:
Pm 0.000 0.000 0.000
Pm 0.000 0.500 0.500
Pm 0.500 0.000 0.500
Pm 0.500 0.500 0.000
Pr 0.000 0.000 0.500
Pr 0.000 0.500 0.000
Pr 0.500 0.000 0.000
Pr 0.500 0.500 0.500
Dy 0.250 0.250 0.250
Dy 0.250 0.750 0.750
Dy 0.750 0.250 0.750
Dy 0.750 0.750 0.250
Tm 0.250 0.250 0.750
Tm 0.250 0.750 0.250
Tm 0.750 0.250 0.250
Tm 0.750 0.750 0.750


[13]
Density functional theory data (PBE) for a relaxed KNpPbI6 crystal.

The calculation puts the formation energy (no corrections) at -0.9320 eV per atom.

abc: 8.146 8.146 15.615
angles: 90.00 90.00 120.00
Fractional coordinates of all 18 atoms:
K 0.000 0.000 0.000
K 0.000 0.000 0.500
Np 0.333 0.667 0.250
Np 0.667 0.333 0.750
Pb 0.333 0.667 0.750
Pb 0.667 0.333 0.250
I 0.013 0.371 0.132
I 0.013 0.643 0.368
I 0.357 0.371 0.368
I 0.357 0.987 0.132
I 0.371 0.013 0.632
I 0.371 0.357 0.868
I 0.629 0.643 0.132
I 0.629 0.987 0.368
I 0.643 0.013 0.868
I 0.643 0.629 0.632
I 0.987 0.357 0.632
I 0.987 0.629 0.868


[14]
Density functional theory data (PBE) for a relaxed RbAgHgBr2 crystal.

The calculation puts the formation energy (no corrections) at -0.7542 eV per atom.

abc: 5.680 5.680 5.518
angles: 90.00 90.00 90.00
Fractional coordinates of all 5 atoms:
Rb 0.000 0.000 0.000
Ag 0.500 0.500 0.500
Hg 0.500 0.500 0.000
Br 0.000 0.500 0.500
Br 0.500 0.000 0.500


[15]
Density functional theory data (PBE) for a relaxed PrPaNi2 crystal.

For the formation energy, the calculation gives -68 kJ/mol of formula units. As for the energy above the most stable polymorph in this dataset: 76 meV per atom.

abc: 3.752 3.752 21.604
angles: 90.00 90.00 120.00
Fractional coordinates of all 12 atoms:
Pr 0.000 0.000 0.000
Pr 0.333 0.667 0.667
Pr 0.667 0.333 0.333
Pa 0.000 0.000 0.500
Pa 0.333 0.667 0.167
Pa 0.667 0.333 0.833
Ni 0.000 0.000 0.240
Ni 0.000 0.000 0.760
Ni 0.333 0.667 0.427
Ni 0.333 0.667 0.906
Ni 0.667 0.333 0.094
Ni 0.667 0.333 0.573


[16]
Density functional theory data (PBE) for a relaxed ZrTcNi2Sn crystal.

For the formation energy, the calculation gives 566 kJ/mol of formula units.

abc: 4.640 4.640 4.811
angles: 90.00 90.00 90.00
Fractional coordinates of all 5 atoms:
Zr 0.000 0.000 0.000
Tc 0.000 0.000 0.500
Ni 0.000 0.500 0.000
Ni 0.500 0.000 0.000
Sn 0.500 0.500 0.500


[17]
Density functional theory data (PBE) for a relaxed K2PdRhO4 crystal.

The calculation puts the formation energy (no corrections) at -0.7773 eV per atom.

abc: 6.302 6.302 6.711
angles: 90.00 90.00 90.00
Fractional coordinates of all 16 atoms:
K 0.000 0.000 0.000
K 0.000 0.500 0.250
K 0.500 0.000 0.750
K 0.500 0.500 0.500
Pd 0.000 0.000 0.500
Pd 0.500 0.500 0.000
Rh 0.000 0.500 0.750
Rh 0.500 0.000 0.250
O 0.141 0.720 0.602
O 0.220 0.359 0.898
O 0.280 0.141 0.398
O 0.359 0.780 0.102
O 0.641 0.220 0.102
O 0.720 0.859 0.398
O 0.780 0.641 0.898
O 0.859 0.280 0.602


[18]
Density functional theory data (PBE) for a relaxed Na8B11C5 crystal.

For the formation energy, the calculation gives 285 kJ/mol of formula units. As for the energy above the most stable polymorph in this dataset: 21 meV per atom.

abc: 9.024 9.024 10.204
angles: 106.45 106.45 18.13
Fractional coordinates of all 24 atoms:
Na 0.000 0.000 0.000
Na 0.001 0.001 0.499
Na 0.250 0.250 0.124
Na 0.250 0.250 0.625
Na 0.500 0.500 0.248
Na 0.500 0.500 0.749
Na 0.748 0.748 0.873
Na 0.750 0.750 0.374
B 0.125 0.125 0.227
B 0.125 0.125 0.729
B 0.125 0.125 0.900
B 0.374 0.374 0.507
B 0.375 0.375 0.028
B 0.624 0.624 0.460
B 0.625 0.625 0.634
B 0.625 0.625 0.996
B 0.874 0.874 0.605
B 0.875 0.875 0.268
B 0.875 0.875 0.787
C 0.124 0.124 0.387
C 0.375 0.375 0.345
C 0.375 0.375 0.862
C 0.625 0.625 0.153
C 0.876 0.876 0.104


[19]
Density functional theory data (PBE) for a relaxed Th2CuSi crystal.

The calculation puts the formation energy (no corrections) at -0.2926 eV per atom. As for the energy above the most stable polymorph in this dataset: 158 meV per atom.

abc: 4.923 4.923 3.851
angles: 90.00 90.00 90.00
Fractional coordinates of all 4 atoms:
Th 0.000 0.500 0.000
Th 0.500 0.000 0.000
Cu 0.000 0.000 0.500
Si 0.500 0.500 0.500


[20]
Density functional theory data (PBE) for a relaxed Ba8Hg2Au3 crystal.

For the formation energy, the calculation gives -573 kJ/mol of formula units.

abc: 10.072 5.776 10.101
angles: 90.00 109.56 90.00
Fractional coordinates of all 13 atoms:
Ba 0.117 0.000 0.385
Ba 0.122 0.500 0.861
Ba 0.362 0.500 0.623
Ba 0.377 0.000 0.122
Ba 0.623 0.000 0.878
Ba 0.638 0.500 0.377
Ba 0.878 0.500 0.139
Ba 0.883 0.000 0.615
Hg 0.256 0.500 0.244
Hg 0.744 0.500 0.756
Au 0.000 0.500 0.500
Au 0.260 0.000 0.760
Au 0.740 0.000 0.240


| no. | total magnetization (μB/cell) | final energy (eV/atom) |
| --- | --- | --- |
| 1 | 0.0 | -4.4855 |
| 2 | 0.0 | -4.0573 |
| 3 | 0.0 | -6.3963 |
| 4 | 0.3 | -7.7465 |
| 5 | 11.5 | -4.2016 |
| 6 | 0.0 | -4.8898 |
| 7 | 0.0 | -4.8204 |
| 8 | 0.0 | -5.1624 |
| 9 | 1.9 | -3.7245 |
| 10 | 6.0 | -5.1981 |
| 11 | 2.3 | -4.7889 |
| 12 | 0.0 | -4.5435 |
| 13 | 8.0 | -3.9372 |
| 14 | 0.0 | -2.2475 |
| 15 | 0.0 | -6.6370 |
| 16 | 0.7 | -5.7221 |
| 17 | 0.0 | -5.0988 |
| 18 | 0.0 | -5.2988 |
| 19 | 0.0 | -6.3823 |
| 20 | 0.0 | -2.4430 |